1.
MgInCl2 GGA-PBE optimized geometry; raw total energy = -2.68 eV/atom; Fermi-level density of states = 0.3375 states/eV per atom; formation energy without anion corrections = -65.4 kJ per mole of atoms; total magnetization = 0.00 μB per formula unit; energy above the most stable polymorph in this dataset = 0.553 eV per atom
1.0
-2.457 6.174 0.087
-1.888 0.956 6.299
1.508 2.409 1.886
In Mg Cl
1 1 2
direct
0.500 0.000 0.500
0.000 0.500 0.500
0.000 0.000 0.000
0.500 0.500 0.000


2.
TbPmThZn GGA-PBE optimized geometry; raw total energy = -4.39 eV/atom; Fermi-level density of states = 1.9444 states/eV per atom; total magnetization = 0.02 μB per formula unit; energy above the most stable polymorph in this dataset = 0.279 eV per atom
1.0
-1.821 -3.198 3.959
-0.013 -5.366 -0.651
3.457 -3.070 2.799
Zn Tb Pm Th
1 1 1 1
direct
0.000 0.000 0.000
0.750 0.750 0.750
0.500 0.500 0.500
0.250 0.250 0.250


3.
Mg3AgIr GGA-PBE optimized geometry; raw total energy = -3.54 eV/atom; Fermi-level density of states = 0.3755 states/eV per atom; total magnetization = 0.00 μB per formula unit; energy above the most stable polymorph in this dataset = 0.016 eV per atom
1.0
9.536 2.606 2.051
4.436 7.201 -0.112
4.436 1.583 7.025
Mg Ag Ir
12 4 4
direct
0.369 0.228 0.960
0.017 0.187 0.438
0.032 0.681 0.919
0.631 0.772 0.040
0.468 0.081 0.319
0.532 0.919 0.681
0.517 0.438 0.187
0.483 0.562 0.813
0.131 0.040 0.772
0.983 0.813 0.562
0.968 0.319 0.081
0.869 0.960 0.228
0.649 0.270 0.520
0.149 0.520 0.270
0.851 0.480 0.730
0.351 0.730 0.480
0.250 0.362 0.638
0.750 0.118 0.882
0.250 0.882 0.118
0.750 0.638 0.362


4.
Tb6Pb2C GGA-PBE optimized geometry; raw total energy = -5.34 eV/atom; Fermi-level density of states = 0.6562 states/eV per atom; total magnetization = 0.00 μB per formula unit; energy above the most stable polymorph in this dataset = 0.000 eV per atom
1.0
-1.940 2.913 -6.034
-6.625 0.104 2.180
1.418 8.980 3.879
Tb Pb C
12 4 2
direct
0.755 0.755 0.500
0.255 0.255 0.000
0.745 0.745 0.000
0.000 0.000 0.255
0.745 0.255 0.000
0.000 0.000 0.745
0.500 0.500 0.755
0.245 0.755 0.500
0.500 0.500 0.245
0.755 0.245 0.500
0.245 0.245 0.500
0.255 0.745 0.000
0.500 0.000 0.750
0.500 0.000 0.250
0.000 0.500 0.750
0.000 0.500 0.250
0.500 0.500 0.000
0.000 0.000 0.500


5.
PmPb2S3 GGA-PBE optimized geometry; raw total energy = -5.09 eV/atom; Fermi-level density of states = 0.2990 states/eV per atom; formation energy without anion corrections = -96.0 kJ per mole of atoms; total magnetization = 0.00 μB per formula unit
1.0
5.847 0.000 0.000
0.000 7.888 -0.021
-2.923 -1.993 7.093
Pb S Pm
4 6 2
direct
0.337 0.417 0.673
0.663 0.583 0.327
0.336 0.917 0.673
0.664 0.083 0.327
0.860 0.929 0.720
0.860 0.429 0.720
0.140 0.071 0.280
0.500 0.250 0.000
0.140 0.571 0.280
0.500 0.750 0.000
0.000 0.250 0.000
0.000 0.750 0.000


6.
Cs3La3ErSe8 GGA-PBE optimized geometry; raw total energy = -5.03 eV/atom; Fermi-level density of states = 1.0730 states/eV per atom; formation energy without anion corrections = -165.1 kJ per mole of atoms; total magnetization = 0.00 μB per formula unit
1.0
8.812 0.000 0.000
-4.406 7.638 -0.034
0.000 -5.063 8.520
La Er Se Cs
3 1 8 3
direct
0.500 0.500 0.500
0.000 0.500 0.500
0.500 0.000 0.500
0.000 0.000 0.500
0.220 0.440 0.682
0.220 0.963 0.682
0.780 0.037 0.318
0.257 0.037 0.318
0.743 0.963 0.682
0.269 0.539 0.309
0.731 0.461 0.691
0.780 0.560 0.318
0.000 0.000 0.000
0.500 0.500 0.000
0.000 0.500 0.000